Run 1
! CeBiSe3, relaxed, DFT PBE; values from VASP
&SYSTEM
  ibrav = 0, nat = 10, ntyp = 3
/
ATOMIC_SPECIES
Ce 140.12 Ce.upf
Bi 208.98 Bi.upf
Se 78.96 Se.upf
CELL_PARAMETERS angstrom
4.3033 0.0000 0.0000
0.0000 7.3505 -1.8097
0.0000 0.2170 10.5571
ATOMIC_POSITIONS crystal
Ce 0.2500 0.7353 0.9731
Ce 0.7500 0.2647 0.0269
Bi 0.2500 0.8610 0.3522
Bi 0.7500 0.1390 0.6478
Se 0.2500 0.0569 0.8559
Se 0.7500 0.9431 0.1441
Se 0.2500 0.4909 0.1608
Se 0.7500 0.5091 0.8392
Se 0.2500 0.2321 0.4973
Se 0.7500 0.7679 0.5027
! space group: P2_1/m, No. 11
! size of the total moment: 1.895 μB per cell

Run 2
! CeBiSe3, relaxed, DFT PBE; values from VASP
&SYSTEM
  ibrav = 0, nat = 10, ntyp = 3
/
ATOMIC_SPECIES
Ce 140.12 Ce.upf
Bi 208.98 Bi.upf
Se 78.96 Se.upf
CELL_PARAMETERS angstrom
4.3341 0.0000 0.0000
0.0000 7.4691 -0.1088
0.0000 -3.4210 11.3045
ATOMIC_POSITIONS crystal
Ce 0.2500 0.2731 0.5614
Ce 0.7500 0.7269 0.4386
Bi 0.2500 0.1135 0.1526
Bi 0.7500 0.8865 0.8474
Se 0.7500 0.0705 0.6414
Se 0.7500 0.5604 0.6362
Se 0.2500 0.9295 0.3586
Se 0.2500 0.4396 0.3638
Se 0.2500 0.7540 0.9507
Se 0.7500 0.2460 0.0493
! space group: P2_1/m, No. 11
! size of the total moment: 1.757 μB per cell

Bottom line: run 1, by a margin of 48 meV/atom.

Run 1
! Ce2BiSe5, relaxed, DFT PBE; values from VASP
&SYSTEM
  ibrav = 0, nat = 16, ntyp = 3
/
ATOMIC_SPECIES
Ce 140.12 Ce.upf
Bi 208.98 Bi.upf
Se 78.96 Se.upf
CELL_PARAMETERS angstrom
4.1847 0.0000 0.0000
0.0000 8.1581 0.0000
0.0000 0.0000 12.4418
ATOMIC_POSITIONS crystal
Ce 0.5000 0.5302 0.1751
Ce 0.5000 0.4698 0.8249
Ce 0.5000 0.9698 0.6751
Ce 0.5000 0.0302 0.3249
Bi 0.0000 0.5000 0.5000
Bi 0.0000 0.0000 0.0000
Se 0.0000 0.0000 0.5000
Se 0.0000 0.5000 0.0000
Se 0.0000 0.8181 0.2023
Se 0.0000 0.1819 0.7977
Se 0.0000 0.6819 0.7023
Se 0.0000 0.3181 0.2977
Se 0.5000 0.6775 0.3924
Se 0.5000 0.3225 0.6076
Se 0.5000 0.8225 0.8924
Se 0.5000 0.1775 0.1076
! space group: Pbam, No. 55
! size of the total moment: 2.111 μB per cell

Run 2
! Ce2BiSe5, relaxed, DFT PBE; values from VASP
&SYSTEM
  ibrav = 0, nat = 16, ntyp = 3
/
ATOMIC_SPECIES
Ce 140.12 Ce.upf
Bi 208.98 Bi.upf
Se 78.96 Se.upf
CELL_PARAMETERS angstrom
5.7273 0.0000 0.0000
-2.8637 7.0241 0.0000
0.0000 0.0000 14.0930
ATOMIC_POSITIONS crystal
Ce 0.8538 0.7076 0.4398
Ce 0.8538 0.7076 0.0602
Ce 0.1462 0.2924 0.5602
Ce 0.1462 0.2924 0.9398
Bi 0.8034 0.6069 0.7500
Bi 0.1966 0.3931 0.2500
Se 0.9523 0.9046 0.8833
Se 0.9523 0.9046 0.6167
Se 0.3154 0.6308 0.4343
Se 0.3154 0.6308 0.0657
Se 0.7569 0.5139 0.2500
Se 0.2431 0.4861 0.7500
Se 0.6846 0.3692 0.5657
Se 0.6846 0.3692 0.9343
Se 0.0477 0.0954 0.1167
Se 0.0477 0.0954 0.3833
! space group: Cmcm, No. 63
! size of the total moment: 2.061 μB per cell

Bottom line: run 1, by a margin of 40 meV/atom.

Run 1
! Ce2SiBi, relaxed, DFT PBE; values from VASP
&SYSTEM
  ibrav = 0, nat = 4, ntyp = 3
/
ATOMIC_SPECIES
Si 28.09 Si.upf
Bi 208.98 Bi.upf
Ce 140.12 Ce.upf
CELL_PARAMETERS angstrom
3.5296 0.0000 0.0000
0.0000 3.5296 0.0000
0.0000 0.0000 8.4425
ATOMIC_POSITIONS crystal
Si 0.5000 0.5000 0.0000
Bi 0.5000 0.5000 0.5000
Ce 0.0000 0.0000 0.7884
Ce 0.0000 0.0000 0.2116
! space group: P4/mmm, No. 123
! size of the total moment: 2.102 μB per cell

Run 2
! Ce2SiBi, relaxed, DFT PBE; values from VASP
&SYSTEM
  ibrav = 0, nat = 4, ntyp = 3
/
ATOMIC_SPECIES
Si 28.09 Si.upf
Bi 208.98 Bi.upf
Ce 140.12 Ce.upf
CELL_PARAMETERS angstrom
-2.7547 1.7615 -2.8659
-3.1299 -2.4333 -1.7853
-6.4572 1.5763 3.8774
ATOMIC_POSITIONS crystal
Si 0.0000 0.0000 0.0000
Bi 0.5000 0.5000 0.5000
Ce 0.2592 0.2592 0.2225
Ce 0.7408 0.7408 0.7775
! space group: R-3m, No. 166
! size of the total moment: 0.928 μB per cell

Bottom line: run 2, by a margin of 96 meV/atom.

Run 1
! CeSmBi2, relaxed, DFT PBE; values from VASP
&SYSTEM
  ibrav = 0, nat = 16, ntyp = 3
/
ATOMIC_SPECIES
Ce 140.12 Ce.upf
Sm 150.36 Sm.upf
Bi 208.98 Bi.upf
CELL_PARAMETERS angstrom
-2.8526 -2.8476 6.5061
-0.7074 -7.0670 -3.4033
8.3864 -2.1558 2.7335
ATOMIC_POSITIONS crystal
Ce 0.7499 0.0842 0.6251
Ce 0.2499 0.4158 0.6251
Ce 0.2501 0.9158 0.3749
Ce 0.7501 0.5842 0.3749
Sm 0.2499 0.4179 0.1251
Sm 0.2501 0.9179 0.8749
Sm 0.7499 0.0821 0.1251
Sm 0.7501 0.5821 0.8749
Bi 0.5000 0.7499 0.1237
Bi 0.0000 0.7501 0.1237
Bi 0.0000 0.2499 0.3735
Bi 0.0000 0.2499 0.8763
Bi 0.0000 0.7501 0.6265
Bi 0.5000 0.7499 0.6265
Bi 0.5000 0.2501 0.8763
Bi 0.5000 0.2501 0.3735
! space group: Pbcm, No. 57
! size of the total moment: 4.354 μB per cell

Run 2
! CeSmBi2, relaxed, DFT PBE; values from VASP
&SYSTEM
  ibrav = 0, nat = 4, ntyp = 3
/
ATOMIC_SPECIES
Ce 140.12 Ce.upf
Sm 150.36 Sm.upf
Bi 208.98 Bi.upf
CELL_PARAMETERS angstrom
4.5380 0.0000 0.0000
2.2690 3.9301 0.0000
2.2690 1.3100 7.7888
ATOMIC_POSITIONS crystal
Ce 0.6691 0.6691 0.9928
Sm 0.4975 0.4975 0.5074
Bi 0.0824 0.0824 0.7529
Bi 0.2510 0.2510 0.2469
! space group: R3m, No. 160
! size of the total moment: 0.905 μB per cell

Run 3
! CeSmBi2, relaxed, DFT PBE; values from VASP
&SYSTEM
  ibrav = 0, nat = 4, ntyp = 3
/
ATOMIC_SPECIES
Ce 140.12 Ce.upf
Bi 208.98 Bi.upf
Sm 150.36 Sm.upf
CELL_PARAMETERS angstrom
-0.9969 -3.7778 1.4766
3.9698 -0.5967 1.1534
-1.3851 2.7937 6.2124
ATOMIC_POSITIONS crystal
Ce 0.5000 0.5000 0.5000
Bi 0.0000 0.0000 0.7510
Bi 0.0000 0.0000 0.2490
Sm 0.5000 0.5000 0.0000
! space group: P4/mmm, No. 123
! size of the total moment: 1.193 μB per cell

Bottom line: run 2, by a margin of 7 meV/atom.

Run 1
! Ce2SmBi, relaxed, DFT PBE; values from VASP
&SYSTEM
  ibrav = 0, nat = 4, ntyp = 3
/
ATOMIC_SPECIES
Ce 140.12 Ce.upf
Bi 208.98 Bi.upf
Sm 150.36 Sm.upf
CELL_PARAMETERS angstrom
3.4675 0.0000 0.0000
1.7337 3.0029 0.0000
1.7337 1.0010 12.4174
ATOMIC_POSITIONS crystal
Ce 0.0873 0.0873 0.7381
Ce 0.9127 0.9127 0.2619
Bi 0.0000 0.0000 0.0000
Sm 0.5000 0.5000 0.5000
! space group: R-3m, No. 166
! size of the total moment: 2.077 μB per cell

Run 2
! Ce2SmBi, relaxed, DFT PBE; values from VASP
&SYSTEM
  ibrav = 0, nat = 4, ntyp = 3
/
ATOMIC_SPECIES
Ce 140.12 Ce.upf
Bi 208.98 Bi.upf
Sm 150.36 Sm.upf
CELL_PARAMETERS angstrom
5.1611 0.0000 0.0000
0.0000 4.7224 0.0000
0.0000 0.0000 4.7224
ATOMIC_POSITIONS crystal
Ce 0.0000 0.0000 0.5000
Ce 0.0000 0.5000 0.0000
Bi 0.5000 0.0000 0.0000
Sm 0.5000 0.5000 0.5000
! space group: P4/mmm, No. 123
! size of the total moment: 1.840 μB per cell

Bottom line: run 2, by a margin of 494 meV/atom.

Run 1
! Ce2SmBi, relaxed, DFT PBE; values from VASP
&SYSTEM
  ibrav = 0, nat = 8, ntyp = 3
/
ATOMIC_SPECIES
Ce 140.12 Ce.upf
Sm 150.36 Sm.upf
Bi 208.98 Bi.upf
CELL_PARAMETERS angstrom
4.5315 0.0000 0.0061
0.0000 4.4127 0.0000
-2.1573 0.0000 11.6961
ATOMIC_POSITIONS crystal
Ce 0.6001 0.2500 0.1104
Ce 0.3999 0.7500 0.8896
Ce 0.9957 0.7500 0.1142
Ce 0.0043 0.2500 0.8858
Sm 0.6977 0.7500 0.3887
Sm 0.3023 0.2500 0.6113
Bi 0.1760 0.2500 0.3324
Bi 0.8240 0.7500 0.6676
! space group: P2_1/m, No. 11
! size of the total moment: 0.000 μB per cell

Run 2
! Ce2SmBi, relaxed, DFT PBE; values from VASP
&SYSTEM
  ibrav = 0, nat = 4, ntyp = 3
/
ATOMIC_SPECIES
Ce 140.12 Ce.upf
Bi 208.98 Bi.upf
Sm 150.36 Sm.upf
CELL_PARAMETERS angstrom
4.2967 0.0000 0.0000
0.0000 4.2967 0.0000
0.0000 0.0000 6.8138
ATOMIC_POSITIONS crystal
Ce 0.0000 0.0000 0.6982
Ce 0.0000 0.0000 0.3018
Bi 0.5000 0.5000 0.5000
Sm 0.5000 0.5000 0.0000
! space group: P4/mmm, No. 123
! size of the total moment: 1.331 μB per cell

Bottom line: run 1, by a margin of 119 meV/atom.

Run 1
! Ce5Sn2Bi2, relaxed, DFT PBE; values from VASP
&SYSTEM
  ibrav = 0, nat = 18, ntyp = 3
/
ATOMIC_SPECIES
Ce 140.12 Ce.upf
Sn 118.71 Sn.upf
Bi 208.98 Bi.upf
CELL_PARAMETERS angstrom
-2.2631 -7.5526 -3.2343
3.0699 -3.8600 6.8658
-8.6680 2.5518 0.1061
ATOMIC_POSITIONS crystal
Ce 0.0000 0.0000 0.0000
Ce 0.5000 0.5000 0.0000
Ce 0.8337 0.8102 0.2825
Ce 0.1663 0.4723 0.2825
Ce 0.3337 0.9723 0.2825
Ce 0.6663 0.3102 0.2825
Ce 0.1663 0.1898 0.7175
Ce 0.8337 0.5277 0.7175
Ce 0.6663 0.0277 0.7175
Ce 0.3337 0.6898 0.7175
Sn 0.0000 0.2020 0.4041
Sn 0.5000 0.7020 0.4041
Sn 0.0000 0.7980 0.5959
Sn 0.5000 0.2980 0.5959
Bi 0.6401 0.8618 0.0000
Bi 0.3599 0.1382 0.0000
Bi 0.1401 0.6382 0.0000
Bi 0.8599 0.3618 0.0000
! space group: Cmce, No. 64
! size of the total moment: 12.035 μB per cell

Run 2
! Ce5Sn2Bi2, relaxed, DFT PBE; values from VASP
&SYSTEM
  ibrav = 0, nat = 18, ntyp = 3
/
ATOMIC_SPECIES
Ce 140.12 Ce.upf
Sn 118.71 Sn.upf
Bi 208.98 Bi.upf
CELL_PARAMETERS angstrom
7.9234 0.0000 2.8762
0.0000 8.4360 0.0000
1.2240 0.0000 8.9801
ATOMIC_POSITIONS crystal
Ce 0.0000 0.0000 0.0000
Ce 0.5000 0.5000 0.0000
Ce 0.4602 0.1724 0.7320
Ce 0.8078 0.8276 0.7320
Ce 0.3078 0.6724 0.7320
Ce 0.9602 0.3276 0.7320
Ce 0.5398 0.8276 0.2680
Ce 0.1922 0.1724 0.2680
Ce 0.6922 0.3276 0.2680
Ce 0.0398 0.6724 0.2680
Sn 0.1281 0.3712 0.0000
Sn 0.8719 0.6288 0.0000
Sn 0.3719 0.8712 0.0000
Sn 0.6281 0.1288 0.0000
Bi 0.2070 0.0000 0.5860
Bi 0.7070 0.5000 0.5860
Bi 0.7930 0.0000 0.4140
Bi 0.2930 0.5000 0.4140
! space group: Cmce, No. 64
! size of the total moment: 12.291 μB per cell

Bottom line: run 2, by a margin of 53 meV/atom.

Run 1
! TbCeBi2, relaxed, DFT PBE; values from VASP
&SYSTEM
  ibrav = 0, nat = 4, ntyp = 3
/
ATOMIC_SPECIES
Tb 158.93 Tb.upf
Bi 208.98 Bi.upf
Ce 140.12 Ce.upf
CELL_PARAMETERS angstrom
-1.4762 2.1772 3.0296
-4.9321 -2.2353 -0.7968
1.2555 -4.0174 3.4988
ATOMIC_POSITIONS crystal
Tb 0.5000 0.5000 0.5000
Bi 0.0000 0.0000 0.5000
Bi 0.0000 0.5000 0.0000
Ce 0.5000 0.0000 0.0000
! space group: P4/mmm, No. 123
! size of the total moment: 1.193 μB per cell

Run 2
! TbCeBi2, relaxed, DFT PBE; values from VASP
&SYSTEM
  ibrav = 0, nat = 4, ntyp = 3
/
ATOMIC_SPECIES
Tb 158.93 Tb.upf
Bi 208.98 Bi.upf
Ce 140.12 Ce.upf
CELL_PARAMETERS angstrom
4.1454 0.0000 0.0000
0.0000 4.1454 0.0000
0.0000 0.0000 6.9304
ATOMIC_POSITIONS crystal
Tb 0.5000 0.5000 0.0000
Bi 0.0000 0.0000 0.7533
Bi 0.0000 0.0000 0.2467
Ce 0.5000 0.5000 0.5000
! space group: P4/mmm, No. 123
! size of the total moment: 1.164 μB per cell

Run 3
! TbCeBi2, relaxed, DFT PBE; values from VASP
&SYSTEM
  ibrav = 0, nat = 4, ntyp = 3
/
ATOMIC_SPECIES
Tb 158.93 Tb.upf
Bi 208.98 Bi.upf
Ce 140.12 Ce.upf
CELL_PARAMETERS angstrom
4.5497 0.0000 0.0000
2.2749 3.9402 0.0000
2.2749 1.3134 7.4200
ATOMIC_POSITIONS crystal
Tb 0.5000 0.5000 0.5000
Bi 0.7519 0.7519 0.7443
Bi 0.2481 0.2481 0.2557
Ce 0.0000 0.0000 0.0000
! space group: R-3m, No. 166
! size of the total moment: 0.854 μB per cell

Bottom line: run 3, by a margin of 194 meV/atom.

Run 1
! TbCeBi2, relaxed, DFT PBE; values from VASP
&SYSTEM
  ibrav = 0, nat = 8, ntyp = 3
/
ATOMIC_SPECIES
Tb 158.93 Tb.upf
Ce 140.12 Ce.upf
Bi 208.98 Bi.upf
CELL_PARAMETERS angstrom
4.7379 0.0000 0.0000
0.0000 4.3803 0.0000
0.0000 -2.1902 12.5569
ATOMIC_POSITIONS crystal
Tb 0.2500 0.4407 0.8815
Tb 0.7500 0.5593 0.1185
Ce 0.2500 0.1854 0.3709
Ce 0.7500 0.8146 0.6291
Bi 0.7500 0.6854 0.3708
Bi 0.2500 0.3146 0.6292
Bi 0.7500 0.9441 0.8881
Bi 0.2500 0.0559 0.1119
! space group: Cmcm, No. 63
! size of the total moment: 1.726 μB per cell

Run 2
! TbCeBi2, relaxed, DFT PBE; values from VASP
&SYSTEM
  ibrav = 0, nat = 4, ntyp = 3
/
ATOMIC_SPECIES
Tb 158.93 Tb.upf
Ce 140.12 Ce.upf
Bi 208.98 Bi.upf
CELL_PARAMETERS angstrom
4.5130 0.0000 0.0000
2.2565 3.9084 0.0000
2.2565 1.3028 7.7186
ATOMIC_POSITIONS crystal
Tb 0.4976 0.4976 0.5071
Ce 0.6690 0.6690 0.9930
Bi 0.0837 0.0837 0.7490
Bi 0.2497 0.2497 0.2508
! space group: R3m, No. 160
! size of the total moment: 0.902 μB per cell

Bottom line: run 1, by a margin of 29 meV/atom.

Run 1
! Ce3TcBi, relaxed, DFT PBE; values from VASP
&SYSTEM
  ibrav = 0, nat = 10, ntyp = 3
/
ATOMIC_SPECIES
Ce 140.12 Ce.upf
Tc 98.00 Tc.upf
Bi 208.98 Bi.upf
CELL_PARAMETERS angstrom
4.4496 0.0000 0.0000
0.0000 8.2466 -0.9998
0.0000 -2.9323 8.0301
ATOMIC_POSITIONS crystal
Ce 0.7500 0.6624 0.4075
Ce 0.2500 0.3376 0.5925
Ce 0.7500 0.3352 0.9056
Ce 0.2500 0.9655 0.7683
Ce 0.2500 0.6648 0.0944
Ce 0.7500 0.0345 0.2317
Tc 0.2500 0.8977 0.3765
Tc 0.7500 0.1023 0.6235
Bi 0.2500 0.3144 0.1907
Bi 0.7500 0.6856 0.8093
! space group: P2_1/m, No. 11
! size of the total moment: 5.632 μB per cell

Run 2
! Ce3TcBi, relaxed, DFT PBE; values from VASP
&SYSTEM
  ibrav = 0, nat = 5, ntyp = 3
/
ATOMIC_SPECIES
Bi 208.98 Bi.upf
Ce 140.12 Ce.upf
Tc 98.00 Tc.upf
CELL_PARAMETERS angstrom
5.3048 0.0000 0.0000
0.0000 5.3048 0.0000
0.0000 0.0000 5.3048
ATOMIC_POSITIONS crystal
Bi 0.5000 0.5000 0.5000
Ce 0.0000 0.5000 0.0000
Ce 0.0000 0.0000 0.5000
Ce 0.5000 0.0000 0.0000
Tc 0.0000 0.0000 0.0000
! space group: Pm-3m, No. 221
! size of the total moment: 2.388 μB per cell

Run 3
! Ce3TcBi, relaxed, DFT PBE; values from VASP
&SYSTEM
  ibrav = 0, nat = 10, ntyp = 3
/
ATOMIC_SPECIES
Ce 140.12 Ce.upf
Tc 98.00 Tc.upf
Bi 208.98 Bi.upf
CELL_PARAMETERS angstrom
-3.0365 -1.7993 3.5582
1.6090 -7.0647 -2.1994
4.8434 3.3471 5.8267
ATOMIC_POSITIONS crystal
Ce 0.5000 0.3212 0.0000
Ce 0.9999 0.8755 0.7510
Ce 0.5000 0.6788 0.0000
Ce 0.5000 0.5000 0.5000
Ce 0.0001 0.1245 0.2490
Ce 0.5000 0.0000 0.5000
Tc 0.5001 0.1071 0.2142
Tc 0.4999 0.8929 0.7858
Bi 0.0000 0.6415 0.2830
Bi 0.0000 0.3585 0.7170
! space group: Cmmm, No. 65
! size of the total moment: 3.627 μB per cell

Bottom line: run 3, by a margin of 32 meV/atom.